This record from Alexandria describes HgBr2 after structural relaxation. The functional is PBEsol.

abc: 8.6990 8.6990 6.0320
angles: 90.00 90.00 153.78
Last column: nearest neighbours and their distance in Å.
Sites, in units of the cell vectors:
Hg 0.1806 0.8194 0.7500  4 Br 2.66-2.82
Hg 0.8194 0.1806 0.2500  4 Br 2.66-2.82
Br 0.2008 0.7992 0.2500  4 Hg 2.82-3.04
Br 0.4244 0.5756 0.2500  2 Hg 2.66
Br 0.5756 0.4244 0.7500  2 Hg 2.66
Br 0.7992 0.2008 0.7500  4 Hg 2.82-3.04

Results
crystal system = orthorhombic
spin magnetization = 0.00 μB/atom
energy relative to the elements, uncorrected = -0.382 eV per atom
symmetry = Cmcm
calculated total energy = -1.82 eV/atom

This record from Alexandria describes KNiTe2 after structural relaxation. The functional is PBEsol.

abc: 4.8113 4.8113 4.0657
angles: 90.00 90.00 90.00
Last column: nearest neighbours and their distance in Å.
Sites, in units of the cell vectors:
K 0.0000 0.0000 0.0000  8 Te 3.15, 4 Ni 3.40
Ni 0.5000 0.5000 0.0000  8 Te 3.15, 4 K 3.40
Te 0.0000 0.5000 0.5000  4 K 3.15, 4 Ni 3.15, 4 Te 3.40
Te 0.5000 0.0000 0.5000  4 K 3.15, 4 Ni 3.15, 4 Te 3.40

Results
crystal system = tetragonal
spin magnetization = 0.00 μB/atom
energy relative to the elements, uncorrected = 0.204 eV per atom
symmetry = P4/mmm
calculated total energy = -3.38 eV/atom

This record from Alexandria describes KP2ClF after structural relaxation. The functional is PBEsol.

abc: 4.1400 4.1400 6.4519
angles: 90.00 90.00 90.00
Last column: nearest neighbours and their distance in Å.
Sites, in units of the cell vectors:
K 0.0000 0.0000 0.0000  4 Cl 2.93
P 0.0000 0.5000 0.5000  2 F 2.07
P 0.5000 0.0000 0.5000  2 F 2.07
Cl 0.5000 0.5000 0.0000  4 K 2.93, 2 F 3.23
F 0.5000 0.5000 0.5000  4 P 2.07

Results
crystal system = tetragonal
spin magnetization = 0.00 μB/atom
energy relative to the elements, uncorrected = -0.146 eV per atom
symmetry = P4/mmm
calculated total energy = -3.48 eV/atom

This record from Alexandria describes ScTeMo after structural relaxation. The functional is PBEsol.

abc: 6.8690 6.6214 3.1508
angles: 80.92 72.15 26.93
Last column: nearest neighbours and their distance in Å.
Sites, in units of the cell vectors:
Sc 0.0000 0.0000 0.0000  2 Mo 2.75, 2 Te 2.92
Te 0.6794 0.6794 0.3206  2 Mo 2.71, 2 Sc 2.92
Mo 0.3376 0.3376 0.6624  2 Te 2.71, 2 Sc 2.75

Results
crystal system = orthorhombic
spin magnetization = 0.00 μB/atom
energy relative to the elements, uncorrected = 0.139 eV per atom
symmetry = Fmm2
calculated total energy = -7.16 eV/atom

What did the first record say?
This record from Alexandria describes HgBr2 after structural relaxation. The functional is PBEsol.

abc: 8.6990 8.6990 6.0320
angles: 90.00 90.00 153.78
Last column: nearest neighbours and their distance in Å.
Sites, in units of the cell vectors:
Hg 0.1806 0.8194 0.7500  4 Br 2.66-2.82
Hg 0.8194 0.1806 0.2500  4 Br 2.66-2.82
Br 0.2008 0.7992 0.2500  4 Hg 2.82-3.04
Br 0.4244 0.5756 0.2500  2 Hg 2.66
Br 0.5756 0.4244 0.7500  2 Hg 2.66
Br 0.7992 0.2008 0.7500  4 Hg 2.82-3.04

Results
crystal system = orthorhombic
spin magnetization = 0.00 μB/atom
energy relative to the elements, uncorrected = -0.382 eV per atom
symmetry = Cmcm
calculated total energy = -1.82 eV/atom

Question: Look up the energy relative to the elements, uncorrected of the fourth one.
Answer: 0.139 eV per atom

Question: Which value of energy relative to the elements, uncorrected does entry 3 give?
Answer: -0.146 eV per atom